Entry 1:
## ScICl3 (SCAN)

Data for a PBEsol-optimized structure of ScICl3.

Unit cell a=5.0093 b=5.0093 c=5.0093 alpha=90.00 beta=90.00 gamma=90.00
Last column: nearest neighbours and their distance in Å.
Fractional positions:
Sc 0.0000 0.0000 0.0000  6 Cl 2.50
I 0.5000 0.5000 0.5000  12 Cl 3.54
Cl 0.0000 0.0000 0.5000  2 Sc 2.50
Cl 0.0000 0.5000 0.0000  2 Sc 2.50
Cl 0.5000 0.0000 0.0000  2 Sc 2.50

Computed properties:
Polymorph energy (0 for the lowest one)   0 meV/atom
Formation energy without anion corrections   -7.281 eV/f.u.
SG   No. 221
ρ   3.68 g/cm3
Magnetic moment   1.0 μB per formula unit

Entry 2:
## LiHgNF2 (SCAN)

Data for a PBEsol-optimized structure of LiHgNF2.

Unit cell a=3.6051 b=3.6051 c=4.2514 alpha=90.00 beta=90.00 gamma=90.00
Last column: nearest neighbours and their distance in Å.
Fractional positions:
Li 0.0000 0.0000 0.0000  4 F 1.80
Hg 0.5000 0.5000 0.5000  4 N 2.55, 8 F 2.79
N 0.0000 0.0000 0.5000  2 Li 2.13
F 0.0000 0.5000 0.0000  2 Li 1.80
F 0.5000 0.0000 0.0000  2 Li 1.80

Computed properties:
Formation energy without anion corrections   -3.188 eV/f.u.
SG   No. 123
ρ   7.80 g/cm3
Magnetic moment   2.0 μB per formula unit

Entry 3:
## CaTlCd2 (SCAN)

Data for a PBEsol-optimized structure of CaTlCd2.

Unit cell a=3.5369 b=3.5369 c=7.8115 alpha=90.00 beta=90.00 gamma=90.00
Last column: nearest neighbours and their distance in Å.
Fractional positions:
Ca 0.0000 0.0000 0.0000  4 Cd 3.23, 4 Tl 3.32, 4 Ca 3.54
Tl 0.5000 0.5000 0.7205  4 Cd 3.16, 4 Ca 3.32, 4 Tl 3.54
Cd 0.0000 0.0000 0.4731  4 Cd 3.00, 4 Tl 3.16
Cd 0.5000 0.5000 0.2620  4 Cd 3.00, 4 Ca 3.23

Computed properties:
Polymorph energy (0 for the lowest one)   51 meV/atom
Calculated formation energy   -0.241 eV/atom
SG   No. 99
ρ   7.97 g/cm3
Magnetic moment   0.0 μB per formula unit

Entry 4:
## Re2NiPt (SCAN)

Data for a PBEsol-optimized structure of Re2NiPt.

Unit cell a=2.6914 b=2.6914 c=26.2622 alpha=90.00 beta=90.00 gamma=120.00
Last column: nearest neighbours and their distance in Å.
Fractional positions:
Re 0.0000 0.0000 0.2459  3 Ni 2.60, 6 Re 2.69, 3 Pt 2.77
Re 0.0000 0.0000 0.7541  3 Ni 2.60, 6 Re 2.69, 3 Pt 2.77
Re 0.3333 0.6667 0.4207  3 Ni 2.60, 6 Re 2.69, 3 Pt 2.77
Re 0.3333 0.6667 0.9126  3 Ni 2.60, 6 Re 2.69, 3 Pt 2.77
Re 0.6667 0.3333 0.0874  3 Ni 2.60, 6 Re 2.69, 3 Pt 2.77
Re 0.6667 0.3333 0.5793  3 Ni 2.60, 6 Re 2.69, 3 Pt 2.77
Ni 0.0000 0.0000 0.5000  6 Re 2.60, 6 Ni 2.69
Ni 0.3333 0.6667 0.1667  6 Re 2.60, 6 Ni 2.69
Ni 0.6667 0.3333 0.8333  6 Re 2.60, 6 Ni 2.69
Pt 0.0000 0.0000 0.0000  6 Pt 2.69, 6 Re 2.77
Pt 0.3333 0.6667 0.6667  6 Pt 2.69, 6 Re 2.77
Pt 0.6667 0.3333 0.3333  6 Pt 2.69, 6 Re 2.77

Computed properties:
Polymorph energy (0 for the lowest one)   123 meV/atom
Calculated formation energy   0.079 eV/atom
SG   No. 166
ρ   18.94 g/cm3
Magnetic moment   0.0 μB per formula unit

Entry 5:
## MnRhBr2 (SCAN)

Data for a PBEsol-optimized structure of MnRhBr2.

Unit cell a=4.0290 b=5.4346 c=6.6701 alpha=90.00 beta=90.00 gamma=90.00
Last column: nearest neighbours and their distance in Å.
Fractional positions:
Mn 0.0000 0.0000 0.0000  4 Br 2.61
Mn 0.5000 0.5000 0.0000  4 Br 2.61
Rh 0.0000 0.0000 0.5000  4 Br 2.62
Rh 0.5000 0.5000 0.5000  4 Br 2.62
Br 0.0000 0.5000 0.2498  2 Mn 2.61, 2 Rh 2.62
Br 0.0000 0.5000 0.7502  2 Mn 2.61, 2 Rh 2.62
Br 0.5000 0.0000 0.2498  2 Mn 2.61, 2 Rh 2.62
Br 0.5000 0.0000 0.7502  2 Mn 2.61, 2 Rh 2.62

Computed properties:
Polymorph energy (0 for the lowest one)   465 meV/atom
Formation energy without anion corrections   0.692 eV/f.u.
SG   No. 65
ρ   7.22 g/cm3
Magnetic moment   3.6 μB per formula unit

Entry 6:
## NiH4SeO5 (SCAN)

Data for a PBEsol-optimized structure of NiH4SeO5.

Unit cell a=6.3739 b=8.5391 c=8.9546 alpha=90.00 beta=125.06 gamma=90.00
Last column: nearest neighbours and their distance in Å.
Fractional positions:
Ni 0.1726 0.1372 0.0223  6 O 1.99-2.12
Ni 0.1726 0.3628 0.5223  6 O 1.99-2.12
Ni 0.8274 0.6372 0.4777  6 O 1.99-2.12
Ni 0.8274 0.8628 0.9777  6 O 1.99-2.12
H 0.0791 0.1298 0.6421  1 O 1.01
H 0.0791 0.3702 0.1421  1 O 1.01
H 0.2968 0.5211 0.7929  1 O 1.01
H 0.2968 0.9789 0.2929  1 O 1.01
H 0.3153 0.0707 0.6305  1 O 1.00
H 0.3153 0.4293 0.1305  1 O 1.00
H 0.4316 0.1503 0.3767  1 O 1.02
H 0.4316 0.3497 0.8767  1 O 1.02
H 0.5684 0.6503 0.1233  1 O 1.02
H 0.5684 0.8497 0.6233  1 O 1.02
H 0.6847 0.5707 0.8695  1 O 1.00
H 0.6847 0.9293 0.3695  1 O 1.00
H 0.7032 0.0211 0.7071  1 O 1.01
H 0.7032 0.4789 0.2071  1 O 1.01
H 0.9209 0.6298 0.8579  1 O 1.01
H 0.9209 0.8702 0.3579  1 O 1.01
Se 0.2330 0.6536 0.3345  3 O 1.72-1.74
Se 0.2330 0.8464 0.8345  3 O 1.72-1.74
Se 0.7670 0.1536 0.1655  3 O 1.72-1.74
Se 0.7670 0.3464 0.6655  3 O 1.72-1.74
O 0.0866 0.6636 0.7643  2 H 1.71-1.72, 1 Se 1.74
O 0.0866 0.8364 0.2643  2 H 1.71-1.72, 1 Se 1.74
O 0.1363 0.5944 0.4720  1 Se 1.74
O 0.1363 0.9056 0.9720  1 Se 1.74
O 0.1593 0.1378 0.5731  2 H 1.00-1.01
O 0.1593 0.3622 0.0731  2 H 1.00-1.01
O 0.4114 0.0610 0.2932  2 H 1.01-1.02
O 0.4114 0.4390 0.7932  2 H 1.01-1.02
O 0.4551 0.2022 0.9959  1 H 1.60, 1 Se 1.72
O 0.4551 0.2978 0.4959  1 H 1.60, 1 Se 1.72
O 0.5449 0.7022 0.5041  1 H 1.60, 1 Se 1.72
O 0.5449 0.7978 0.0041  1 H 1.60, 1 Se 1.72
O 0.5886 0.5610 0.2068  2 H 1.01-1.02
O 0.5886 0.9390 0.7068  2 H 1.01-1.02
O 0.8407 0.6378 0.9269  2 H 1.00-1.01
O 0.8407 0.8622 0.4269  2 H 1.00-1.01
O 0.8637 0.0944 0.0280  1 Se 1.74
O 0.8637 0.4056 0.5280  1 Se 1.74
O 0.9134 0.1636 0.7357  2 H 1.71-1.72, 1 Se 1.74
O 0.9134 0.3364 0.2357  2 H 1.71-1.72, 1 Se 1.74

Computed properties:
SG   No. 14
ρ   3.69 g/cm3
Magnetic moment   2.0 μB per formula unit
E_tot   -8.47 eV/atom

Entry 7:
## YAs2Cl (SCAN)

Data for a PBEsol-optimized structure of YAs2Cl.

Unit cell a=6.9835 b=6.9835 c=6.9835 alpha=90.00 beta=90.00 gamma=90.00
Last column: nearest neighbours and their distance in Å.
Fractional positions:
Y 0.0000 0.0000 0.0000  8 As 3.02
Y 0.0000 0.5000 0.5000  8 As 3.02
Y 0.5000 0.0000 0.5000  8 As 3.02
Y 0.5000 0.5000 0.0000  8 As 3.02
As 0.2500 0.2500 0.2500  4 Cl 3.02, 4 Y 3.02
As 0.2500 0.2500 0.7500  4 Y 3.02, 4 Cl 3.02
As 0.2500 0.7500 0.2500  4 Y 3.02, 4 Cl 3.02
As 0.2500 0.7500 0.7500  4 Cl 3.02, 4 Y 3.02
As 0.7500 0.2500 0.2500  4 Y 3.02, 4 Cl 3.02
As 0.7500 0.2500 0.7500  4 Cl 3.02, 4 Y 3.02
As 0.7500 0.7500 0.2500  4 Cl 3.02, 4 Y 3.02
As 0.7500 0.7500 0.7500  4 Y 3.02, 4 Cl 3.02
Cl 0.0000 0.0000 0.5000  8 As 3.02
Cl 0.0000 0.5000 0.0000  8 As 3.02
Cl 0.5000 0.0000 0.0000  8 As 3.02
Cl 0.5000 0.5000 0.5000  8 As 3.02

Computed properties:
Polymorph energy (0 for the lowest one)   468 meV/atom
Formation energy without anion corrections   -0.867 eV/f.u.
SG   No. 225
ρ   5.35 g/cm3
Magnetic moment   0.0 μB per formula unit

Entry 8:
## TmTi2Ga4 (SCAN)

Data for a PBEsol-optimized structure of TmTi2Ga4.

Unit cell a=6.6302 b=6.6302 c=5.3663 alpha=90.00 beta=90.00 gamma=90.00
Last column: nearest neighbours and their distance in Å.
Fractional positions:
Tm 0.0000 0.0000 0.0000  4 Ga 2.84
Tm 0.5000 0.5000 0.5000  4 Ga 2.84
Ti 0.0000 0.5000 0.2500  2 Ti 2.68, 8 Ga 2.75
Ti 0.0000 0.5000 0.7500  2 Ti 2.68, 8 Ga 2.75
Ti 0.5000 0.0000 0.2500  2 Ti 2.68, 8 Ga 2.75
Ti 0.5000 0.0000 0.7500  2 Ti 2.68, 8 Ga 2.75
Ga 0.1973 0.1973 0.5000  4 Ga 2.62-2.86, 4 Ti 2.75, 1 Tm 2.84
Ga 0.1973 0.8027 0.5000  4 Ga 2.62-2.86, 4 Ti 2.75, 1 Tm 2.84
Ga 0.3027 0.3027 0.0000  4 Ga 2.62-2.86, 4 Ti 2.75, 1 Tm 2.84
Ga 0.3027 0.6973 0.0000  4 Ga 2.62-2.86, 4 Ti 2.75, 1 Tm 2.84
Ga 0.6973 0.3027 0.0000  4 Ga 2.62-2.86, 4 Ti 2.75, 1 Tm 2.84
Ga 0.6973 0.6973 0.0000  4 Ga 2.62-2.86, 4 Ti 2.75, 1 Tm 2.84
Ga 0.8027 0.1973 0.5000  4 Ga 2.62-2.86, 4 Ti 2.75, 1 Tm 2.84
Ga 0.8027 0.8027 0.5000  4 Ga 2.62-2.86, 4 Ti 2.75, 1 Tm 2.84

Computed properties:
Calculated formation energy   -0.638 eV/atom
SG   No. 139
ρ   7.65 g/cm3
Magnetic moment   0.0 μB per formula unit